Arrangement A

Material: Tb6CeSm3
Method: DFT, PBE
State: optimized geometry

abc: 3.572 14.747 14.940
angles: 123.89 90.00 90.00
Site moments in Bohr magnetons follow the coordinates.
Fractional positions:
Tb: 0.250 0.905 0.501  0.03
Tb: 0.750 0.314 0.026  -0.02
Tb: 0.250 0.451 0.280  -0.01
Tb: 0.750 0.095 0.499  0.03
Tb: 0.750 0.628 0.539  -0.01
Tb: 0.750 0.928 0.052  0.02
Tb: 0.250 0.372 0.461  -0.01
Tb: 0.250 0.072 0.948  0.02
Tb: 0.750 0.549 0.720  -0.01
Tb: 0.250 0.686 0.974  -0.02
Tb: 0.250 0.163 0.759  0.02
Tb: 0.750 0.837 0.241  0.02
Ce: 0.750 0.917 0.705  0.79
Ce: 0.250 0.083 0.295  0.79
Sm: 0.750 0.428 0.878  0.00
Sm: 0.250 0.321 0.650  -0.01
Sm: 0.750 0.679 0.350  -0.01
Sm: 0.250 0.572 0.122  0.00
Sm: 0.750 0.214 0.198  -0.01
Sm: 0.250 0.786 0.802  -0.01

Properties
Crystal system   monoclinic

---

Arrangement B

Material: Tb6CeSm3
Method: DFT, PBE
State: optimized geometry

abc: 8.678 8.908 6.283
angles: 97.57 133.68 90.00
Site moments in Bohr magnetons follow the coordinates.
Fractional positions:
Ce: 0.500 0.500 0.000  0.63
Tb: 0.381 0.128 0.762  0.06
Tb: 0.939 0.354 0.240  0.04
Tb: 0.619 0.872 0.238  0.06
Tb: 0.061 0.646 0.760  0.04
Tb: 0.699 0.646 0.760  0.04
Tb: 0.301 0.354 0.240  0.04
Sm: 0.000 0.000 0.000  -0.02
Sm: 0.780 0.270 0.559  0.01
Sm: 0.220 0.730 0.441  0.01

Properties
Crystal system   monoclinic

---

Energetically preferred structure: arrangement A | next structure: +205 meV/atom

---

Arrangement A

Material: CeSm2Tc
Method: DFT, PBE
State: optimized geometry

abc: 6.393 7.200 9.876
angles: 90.00 90.00 90.00
Fractional positions:
Ce: 0.350 0.444 0.750
Ce: 0.650 0.556 0.250
Ce: 0.150 0.944 0.750
Ce: 0.850 0.056 0.250
Sm: 0.827 0.324 0.566
Sm: 0.827 0.324 0.934
Sm: 0.673 0.824 0.566
Sm: 0.673 0.824 0.934
Sm: 0.327 0.176 0.066
Sm: 0.327 0.176 0.434
Sm: 0.173 0.676 0.066
Sm: 0.173 0.676 0.434
Tc: 0.510 0.865 0.250
Tc: 0.010 0.635 0.750
Tc: 0.990 0.365 0.250
Tc: 0.490 0.135 0.750

Properties
Crystal system   orthorhombic

---

Arrangement B

Material: CeSm2Tc
Method: DFT, PBE
State: optimized geometry

abc: 3.394 3.394 11.099
angles: 81.21 81.21 60.00
Site moments in Bohr magnetons follow the coordinates.
Fractional positions:
Sm: 0.103 0.103 0.692  0.00
Sm: 0.897 0.897 0.308  0.00
Tc: 0.500 0.500 0.500  0.06
Ce: 0.000 0.000 0.000  0.72

Properties
Crystal system   trigonal

---

Energetically preferred structure: arrangement A | next structure: +479 meV/atom